## Sr3MnCl2F6 (GGA+U)

Data for a geometry-optimized Sr3MnCl2F6 structure.

a = 5.4313 Å, b = 7.3574 Å, c = 7.4551 Å
α = 119.57°, β = 83.12°, γ = 90.00°
With the nearest neighbours (Å) after each atom.
Fractional positions:
F1 0.7009 0.3165 0.1317  1 Mn 2.36, 2 Sr 2.49-2.52
F2 0.2991 0.6835 0.8683  1 Mn 2.36, 2 Sr 2.49-2.52
F3 0.3540 0.1557 0.3114  1 Mn 2.07
F4 0.2991 0.1848 0.8683  1 Mn 2.36, 2 Sr 2.49-2.52
F5 0.7009 0.8152 0.1317  1 Mn 2.36, 2 Sr 2.49-2.52
F6 0.6460 0.8443 0.6886  1 Mn 2.07
Cl1 0.1283 0.7044 0.4088  3 Sr 2.83-2.85, 1 F 2.97
Cl2 0.8717 0.2956 0.5912  3 Sr 2.83-2.85, 1 F 2.97
Sr1 0.0000 0.5000 0.0000  4 F 2.52
Sr2 0.5000 0.0000 0.5000  4 F 2.40-2.49
Sr3 0.5000 0.5000 0.5000  4 F 2.40-2.49
Mn1 0.5000 0.0000 0.0000  2 F 2.07

Summary:
- E_tot (eV/cell) = -64.76
- total magnetization (μB/cell) = 5.00

## MnTl2ClF3 (GGA+U)

Data for a geometry-optimized MnTl2ClF3 structure.

a = 5.1073 Å, b = 4.2550 Å, c = 7.8061 Å
α = 105.82°, β = 109.10°, γ = 90.00°
With the nearest neighbours (Å) after each atom.
Fractional positions:
F1 0.8492 0.8492 0.6984  1 Mn 2.13
F2 0.0000 0.5000 0.0000  2 Mn 2.13
F3 0.1508 0.1508 0.3016  1 Mn 2.13
Mn1 0.0000 0.0000 0.0000  4 F 2.13
Tl1 0.6627 0.6627 0.3254  1 F 2.63
Tl2 0.3373 0.3373 0.6746  1 F 2.63
Cl1 0.5000 0.0000 0.0000  2 Mn 2.55

Summary:
- E_tot (eV/cell) = -32.63
- total magnetization (μB/cell) = 5.00